! Sm3Ge2Rh3, relaxed, DFT PBE; values from VASP
! Volume = 665 Å³ per cell
! N(E_F) = 0.564 states/eV per atom
! Electronic total energy = -6.5779 eV/atom
&SYSTEM
  ibrav = 0, nat = 32, ntyp = 3
/
ATOMIC_SPECIES
Rh 102.91 Rh.upf
Sm 150.36 Sm.upf
Ge 72.64 Ge.upf
ATOMIC_POSITIONS crystal
Rh 0.594 0.331 0.035
Sm 0.860 0.526 0.606
Sm 0.890 0.833 0.250
Sm 0.140 0.474 0.106
Rh 0.406 0.669 0.535
Rh 0.906 0.831 0.035
Ge 0.137 0.877 0.605
Sm 0.390 0.667 0.750
Sm 0.860 0.526 0.894
Ge 0.363 0.377 0.895
Rh 0.406 0.669 0.965
Rh 0.094 0.169 0.965
Ge 0.863 0.123 0.395
Rh 0.895 0.814 0.750
Ge 0.637 0.623 0.105
Sm 0.640 0.026 0.606
Ge 0.863 0.123 0.105
Sm 0.140 0.474 0.394
Ge 0.363 0.377 0.605
Sm 0.110 0.167 0.750
Rh 0.395 0.686 0.250
Rh 0.605 0.314 0.750
Rh 0.906 0.831 0.465
Rh 0.094 0.169 0.535
Sm 0.640 0.026 0.894
Sm 0.360 0.974 0.394
Sm 0.360 0.974 0.106
Ge 0.137 0.877 0.895
Rh 0.594 0.331 0.465
Ge 0.637 0.623 0.395
Sm 0.610 0.333 0.250
Rh 0.105 0.186 0.250
CELL_PARAMETERS angstrom
-0.917 5.479 -1.187
-2.110 1.228 7.293
14.434 3.203 3.638

! Fe2MoIr, relaxed, DFT PBE; values from VASP
! Volume = 51 Å³ per cell
! N(E_F) = 1.043 states/eV per atom
! Electronic total energy = -9.2080 eV/atom
&SYSTEM
  ibrav = 0, nat = 4, ntyp = 3
/
ATOMIC_SPECIES
Fe 55.84 Fe.upf
Mo 95.94 Mo.upf
Ir 192.22 Ir.upf
ATOMIC_POSITIONS crystal
Fe 0.000 0.000 0.000
Fe 0.500 0.500 0.000
Mo 0.000 0.500 0.500
Ir 0.500 0.000 0.500
CELL_PARAMETERS angstrom
3.746 0.000 0.000
0.000 3.746 0.000
0.000 0.000 3.651

! Nd2Tm3Hg3, relaxed, DFT PBE; values from VASP
! Volume = 220 Å³ per cell
! N(E_F) = 0.784 states/eV per atom
! Electronic total energy = -3.3179 eV/atom
&SYSTEM
  ibrav = 0, nat = 8, ntyp = 3
/
ATOMIC_SPECIES
Tm 168.93 Tm.upf
Nd 144.24 Nd.upf
Hg 200.59 Hg.upf
ATOMIC_POSITIONS crystal
Tm 0.500 0.000 0.000
Nd 0.730 0.230 0.460
Tm 0.383 0.383 0.765
Hg 0.000 0.500 0.000
Tm 0.617 0.617 0.235
Nd 0.270 0.770 0.540
Hg 0.113 0.113 0.225
Hg 0.887 0.887 0.775
CELL_PARAMETERS angstrom
-1.118 -3.162 -1.684
4.985 -1.155 -1.141
-0.991 -3.329 11.089